## SmHo6Hg (PBE)

Data for a geometry-optimized SmHo6Hg structure.

Lattice parameters (Å, degrees): 9.2491 8.4899 6.2761 47.46 42.54 56.97
With the nearest neighbours (Å) after each atom.
Element x y z (fractional)
1 Ho 0.4398 0.7602 0.8413  1 Hg 3.07, 2 Ho 3.24-3.28
2 Ho 0.0415 0.4401 0.7581  1 Hg 3.07, 2 Ho 3.24-3.28
3 Ho 0.9585 0.5599 0.2419  1 Hg 3.07, 2 Ho 3.24-3.28
4 Ho 0.5602 0.2398 0.1587  1 Hg 3.07, 2 Ho 3.24-3.28
5 Ho 0.7603 0.9586 0.7210  1 Hg 3.07, 2 Ho 3.24-3.28
6 Ho 0.2397 0.0414 0.2790  1 Hg 3.07, 2 Ho 3.24-3.28
7 Hg 0.0000 0.0000 0.0000  6 Ho 3.07
8 Sm 0.5000 0.5000 0.5000  12 Ho 3.46-3.62

Total moment   0.00 μB per atom
Electronic total energy   -4.065 eV per atom
Energy of formation   -0.004 eV/atom

## Sm9Ho4Hg11 (PBE)

Data for a geometry-optimized Sm9Ho4Hg11 structure.

Lattice parameters (Å, degrees): 3.5685 13.9955 13.9955 111.23 90.00 90.00
With the nearest neighbours (Å) after each atom.
Element x y z (fractional)
1 Sm 0.5000 0.0384 0.2058  8 Hg 3.26-3.41, 1 Ho 3.55, 2 Sm 3.57
2 Sm 0.5000 0.3710 0.8553  8 Hg 3.23-3.54, 1 Ho 3.49, 3 Sm 3.57-3.58
3 Sm 0.5000 0.9616 0.7942  8 Hg 3.26-3.41, 1 Ho 3.55, 2 Sm 3.57
4 Sm 0.5000 0.8553 0.3710  8 Hg 3.23-3.54, 1 Ho 3.49, 3 Sm 3.57-3.58
5 Sm 0.5000 0.1447 0.6290  8 Hg 3.23-3.54, 1 Ho 3.49, 3 Sm 3.57-3.58
6 Sm 0.5000 0.2058 0.0384  8 Hg 3.26-3.41, 1 Ho 3.55, 2 Sm 3.57
7 Sm 0.5000 0.5000 0.5000  4 Ho 3.26, 2 Sm 3.57, 4 Hg 3.58
8 Sm 0.5000 0.7942 0.9616  8 Hg 3.26-3.41, 1 Ho 3.55, 2 Sm 3.57
9 Sm 0.5000 0.6290 0.1447  8 Hg 3.23-3.54, 1 Ho 3.49, 3 Sm 3.57-3.58
10 Hg 0.0000 0.7411 0.7411  4 Ho 3.12, 4 Sm 3.41
11 Hg 0.0000 0.0000 0.0000  8 Sm 3.26, 2 Hg 3.57
12 Hg 0.0000 0.5852 0.9407  2 Ho 3.15, 6 Sm 3.23-3.35, 1 Hg 3.36
13 Hg 0.0000 0.8318 0.1682  8 Sm 3.27, 2 Hg 3.57
14 Hg 0.0000 0.3654 0.6346  4 Ho 3.16, 4 Sm 3.54
15 Hg 0.0000 0.4148 0.0593  2 Ho 3.15, 6 Sm 3.23-3.35, 1 Hg 3.36
16 Hg 0.0000 0.0593 0.4148  2 Ho 3.15, 6 Sm 3.23-3.35, 1 Hg 3.36
17 Hg 0.0000 0.2589 0.2589  4 Ho 3.12, 4 Sm 3.41
18 Hg 0.0000 0.6346 0.3654  4 Ho 3.16, 4 Sm 3.54
19 Hg 0.0000 0.1682 0.8318  8 Sm 3.27, 2 Hg 3.57
20 Hg 0.0000 0.9407 0.5852  2 Ho 3.15, 6 Sm 3.23-3.35, 1 Hg 3.36
21 Ho 0.5000 0.4395 0.2522  6 Hg 3.12-3.16, 2 Sm 3.26-3.49
22 Ho 0.5000 0.5605 0.7478  6 Hg 3.12-3.16, 2 Sm 3.26-3.49
23 Ho 0.5000 0.2522 0.4395  6 Hg 3.12-3.16, 2 Sm 3.26-3.49
24 Ho 0.5000 0.7478 0.5605  6 Hg 3.12-3.16, 2 Sm 3.26-3.49

Total moment   0.13 μB per atom
Electronic total energy   -3.049 eV per atom
Energy of formation   -0.378 eV/atom

## Sm3Ho2Hg2 (PBE)

Data for a geometry-optimized Sm3Ho2Hg2 structure.

Lattice parameters (Å, degrees): 4.9393 3.5189 11.8373 90.00 77.96 90.00
With the nearest neighbours (Å) after each atom.
Element x y z (fractional)
1 Hg 0.4288 0.5000 0.1424  1 Ho 3.21, 3 Hg 3.30-3.52, 8 Sm 3.45-3.46
2 Hg 0.5712 0.5000 0.8576  1 Ho 3.21, 3 Hg 3.30-3.52, 8 Sm 3.45-3.46
3 Ho 0.2903 0.5000 0.4194  2 Ho 3.10, 1 Hg 3.21, 4 Sm 3.40
4 Ho 0.7097 0.5000 0.5806  2 Ho 3.10, 1 Hg 3.21, 4 Sm 3.40
5 Sm 0.8567 0.0000 0.2866  3 Sm 3.32-3.52, 4 Ho 3.40, 4 Hg 3.46
6 Sm 0.1433 0.0000 0.7134  3 Sm 3.32-3.52, 4 Ho 3.40, 4 Hg 3.46
7 Sm 0.0000 0.0000 0.0000  4 Sm 3.32-3.52, 8 Hg 3.45

Total moment   0.05 μB per atom
Electronic total energy   -3.531 eV per atom
Energy above the most stable polymorph in this dataset   125 meV per atom
Energy of formation   -0.114 eV/atom

## Sm5HoHg4 (PBE)

Data for a geometry-optimized Sm5HoHg4 structure.

Lattice parameters (Å, degrees): 3.7489 3.7489 20.2591 90.00 90.00 90.00
With the nearest neighbours (Å) after each atom.
Element x y z (fractional)
1 Sm 0.5000 0.5000 0.1194  4 Hg 3.26, 4 Ho 3.59
2 Sm 0.5000 0.5000 0.6897  8 Hg 3.27-3.31
3 Sm 0.5000 0.5000 0.3103  8 Hg 3.27-3.31
4 Sm 0.5000 0.5000 0.8806  4 Hg 3.26, 4 Ho 3.59
5 Sm 0.5000 0.5000 0.5000  8 Hg 3.28
6 Ho 0.0000 0.0000 0.0000  8 Sm 3.59, 4 Ho 3.75
7 Hg 0.0000 0.0000 0.5953  8 Sm 3.27-3.28
8 Hg 0.0000 0.0000 0.2127  8 Sm 3.26-3.31
9 Hg 0.0000 0.0000 0.4047  8 Sm 3.27-3.28
10 Hg 0.0000 0.0000 0.7873  8 Sm 3.26-3.31

Total moment   0.12 μB per atom
Electronic total energy   -3.301 eV per atom
Energy of formation   -0.363 eV/atom

## Sm4Ho3Hg4 (PBE)

Data for a geometry-optimized Sm4Ho3Hg4 structure.

Lattice parameters (Å, degrees): 3.6256 9.2992 10.6879 115.79 99.77 90.00
With the nearest neighbours (Å) after each atom.
Element x y z (fractional)
1 Ho 0.0968 0.0968 0.1936  6 Hg 3.08-3.25
2 Ho 0.9032 0.9032 0.8064  6 Hg 3.08-3.25
3 Ho 0.0000 0.5000 0.0000  4 Hg 3.23
4 Sm 0.3395 0.5201 0.6789  4 Hg 3.19-3.24, 1 Sm 3.36
5 Sm 0.3395 0.1588 0.6789  4 Hg 3.19-3.24, 1 Sm 3.36
6 Sm 0.6605 0.8412 0.3211  4 Hg 3.19-3.24, 1 Sm 3.36
7 Sm 0.6605 0.4799 0.3211  4 Hg 3.19-3.24, 1 Sm 3.36
8 Hg 0.5000 0.7872 0.0000  2 Sm 3.19, 6 Ho 3.23-3.25
9 Hg 0.7285 0.2285 0.4569  2 Ho 3.08, 6 Sm 3.24
10 Hg 0.2715 0.7715 0.5431  2 Ho 3.08, 6 Sm 3.24
11 Hg 0.5000 0.2128 0.0000  2 Sm 3.19, 6 Ho 3.23-3.25

Total moment   0.00 μB per atom
Electronic total energy   -3.352 eV per atom
Energy of formation   -0.278 eV/atom

## Sm3HoHg2 (PBE)

Data for a geometry-optimized Sm3HoHg2 structure.

Lattice parameters (Å, degrees): 5.2239 7.0631 9.4417 90.00 90.00 90.00
With the nearest neighbours (Å) after each atom.
Element x y z (fractional)
1 Hg 0.0000 0.2687 0.6496  5 Sm 3.05-3.20, 2 Ho 3.27
2 Hg 0.5000 0.2321 0.1519  6 Sm 3.13-3.27, 1 Ho 3.18
3 Hg 0.0000 0.7687 0.3504  5 Sm 3.05-3.20, 2 Ho 3.27
4 Hg 0.5000 0.7321 0.8481  6 Sm 3.13-3.27, 1 Ho 3.18
5 Sm 0.0000 0.3235 0.3291  4 Hg 3.05-3.17
6 Sm 0.0000 0.8235 0.6709  4 Hg 3.05-3.17
7 Sm 0.0000 0.4865 0.9468  3 Hg 3.20-3.27, 1 Sm 3.53
8 Sm 0.5000 0.1748 0.8236  4 Hg 3.13-3.16
9 Sm 0.0000 0.9865 0.0532  3 Hg 3.20-3.27, 1 Sm 3.53
10 Sm 0.5000 0.6748 0.1764  4 Hg 3.13-3.16
11 Ho 0.5000 0.5143 0.5531  3 Hg 3.18-3.27, 1 Sm 3.50
12 Ho 0.5000 0.0143 0.4469  3 Hg 3.18-3.27, 1 Sm 3.50

Total moment   0.00 μB per atom
Electronic total energy   -3.563 eV per atom
Energy above the most stable polymorph in this dataset   0 meV per atom
Energy of formation   -0.339 eV/atom